[1]
Tm2PuAu (GGA-PBE, relaxed); excess energy over the best structure of this formula in the dataset = 0.482 eV/f.u.; formation energy from the elements = -0.2215 eV/atom; symmetry = P4/mmm, No. 123
1.0
-0.987 -0.463 3.399
1.710 -4.932 -0.176
4.719 1.579 1.586
Tm Au Pu
2 1 1
Direct
0.000 0.000 0.500
0.000 0.500 0.000
0.500 0.000 0.000
0.500 0.500 0.500

***

[2]
Ca3Ga4Ge (GGA-PBE, relaxed); formation energy from the elements = -0.2578 eV/atom; symmetry = Immm, No. 71
1.0
-2.660 3.906 0.131
-2.435 -1.507 -4.497
-3.280 -5.320 6.719
Ca Ga Ge
3 4 1
Direct
0.208 0.208 0.416
0.792 0.792 0.584
0.000 0.500 0.000
0.374 0.610 0.749
0.626 0.390 0.251
0.626 0.861 0.251
0.374 0.139 0.749
0.500 0.000 0.000

***

[3]
NaLi4 (GGA-PBE, relaxed); excess energy over the best structure of this formula in the dataset = 1.270 eV/f.u.; formation energy from the elements = 0.3748 eV/atom; symmetry = Pm-3m, No. 221
1.0
5.286 0.000 0.000
0.000 5.286 0.000
0.000 0.000 5.286
Na Li
1 4
Direct
0.500 0.500 0.500
0.000 0.000 0.000
0.500 0.000 0.500
0.000 0.500 0.500
0.500 0.500 0.000

***

[4]
TbEr2HgN (GGA-PBE, relaxed); E_form (uncorrected) = -452.2 kJ/mol of formula units; symmetry = P4/mmm, No. 123
1.0
-2.906 3.684 1.127
-3.275 -1.663 -3.010
-1.909 -2.578 3.502
Tb Er Hg N
1 2 1 1
Direct
0.500 0.000 0.000
0.000 0.000 0.500
0.000 0.500 0.000
0.500 0.500 0.500
0.000 0.000 0.000

***

[5]
Y4InSnN (GGA-PBE, relaxed); E_form (uncorrected) = -611.5 kJ/mol of formula units; symmetry = Cmcm, No. 63
1.0
-0.527 2.748 -6.057
4.608 -4.230 -2.320
-5.520 -6.640 1.143
Y In Sn N
8 2 2 2
Direct
0.910 0.250 0.821
0.412 0.750 0.823
0.090 0.750 0.179
0.588 0.250 0.177
0.500 0.500 0.500
0.000 0.000 0.500
0.500 0.000 0.500
0.000 0.500 0.500
0.610 0.750 0.220
0.390 0.250 0.780
0.109 0.250 0.218
0.891 0.750 0.782
0.249 0.750 0.499
0.751 0.250 0.501

***

[6]
Ba3PrSm3Se8 (GGA-PBE, relaxed); E_form (uncorrected) = -2796.8 kJ/mol of formula units; symmetry = R-3m, No. 166
1.0
-3.682 -4.340 -6.462
-2.757 -1.146 8.078
-1.922 7.796 -4.140
Ba Pr Sm Se
3 1 3 8
Direct
0.000 0.000 0.000
0.000 0.500 0.000
0.500 0.500 0.000
0.000 0.000 0.500
0.500 0.000 0.500
0.500 0.500 0.500
0.000 0.500 0.500
0.260 0.520 0.281
0.740 0.480 0.719
0.758 0.515 0.281
0.242 0.485 0.719
0.757 0.024 0.281
0.243 0.976 0.719
0.266 0.024 0.281
0.734 0.976 0.719

***

[7]
NpCu3Ge3 (GGA-PBE, relaxed); formation energy from the elements = 0.3273 eV/atom; symmetry = Pm-3n, No. 223
1.0
6.556 0.000 0.000
0.000 6.556 0.000
0.000 0.000 6.556
Np Ge Cu
2 6 6
Direct
0.500 0.500 0.500
0.000 0.000 0.000
0.000 0.250 0.500
0.000 0.750 0.500
0.500 0.000 0.750
0.750 0.500 0.000
0.500 0.000 0.250
0.250 0.500 0.000
0.250 0.000 0.500
0.000 0.500 0.250
0.500 0.750 0.000
0.750 0.000 0.500
0.000 0.500 0.750
0.500 0.250 0.000

***

[8]
Pt2SO (GGA-PBE, relaxed); excess energy over the best structure of this formula in the dataset = 1.114 eV/f.u.; E_form (uncorrected) = 167.1 kJ/mol of formula units; symmetry = Fm-3m, No. 225
1.0
0.000 2.970 2.970
2.970 0.000 2.970
2.970 2.970 0.000
S O Pt
1 1 2
Direct
0.500 0.500 0.500
0.000 0.000 0.000
0.250 0.250 0.250
0.750 0.750 0.750

***

[9]
Li2TmIn3 (GGA-PBE, relaxed); excess energy over the best structure of this formula in the dataset = 0.000 eV/f.u.; formation energy from the elements = -0.3346 eV/atom; symmetry = P4/mmm, No. 123
1.0
-3.286 -1.110 0.426
1.185 -2.946 1.459
-0.316 4.578 9.502
Li Tm In
2 1 3
Direct
0.500 0.500 0.848
0.500 0.500 0.152
0.500 0.500 0.500
0.000 0.000 0.000
0.000 0.000 0.698
0.000 0.000 0.302

***

[10]
ScSiMo2 (GGA-PBE, relaxed); E_form (uncorrected) = -62.9 kJ/mol of formula units; symmetry = Pm, No. 6
1.0
-3.449 -1.782 -1.709
0.949 -2.913 1.122
-2.030 -0.502 4.620
Mo Sc Si
2 1 1
Direct
0.000 0.820 0.050
0.500 0.245 0.149
0.000 0.498 0.576
0.500 0.938 0.724

***

[11]
LaHoTm2 (GGA-PBE, relaxed); excess energy over the best structure of this formula in the dataset = 0.000 eV/f.u.; formation energy from the elements = 0.0128 eV/atom; symmetry = R3m, No. 160
1.0
3.588 0.000 0.000
1.794 3.107 0.000
1.794 1.036 11.463
La Ho Tm
1 1 2
Direct
0.666 0.666 0.002
0.500 0.500 0.499
0.085 0.085 0.744
0.248 0.248 0.256

***

[12]
Y4AlHg3 (GGA-PBE, relaxed); formation energy from the elements = -0.4831 eV/atom; symmetry = P4/mmm, No. 123
1.0
3.686 0.000 0.000
0.000 3.686 0.000
0.000 0.000 14.920
Y Al Hg
4 1 3
Direct
0.000 0.000 0.880
0.000 0.000 0.120
0.000 0.000 0.373
0.000 0.000 0.627
0.500 0.500 0.000
0.500 0.500 0.246
0.500 0.500 0.500
0.500 0.500 0.754

***

[13]
Pm3Ni2Hg2 (GGA-PBE, relaxed); formation energy from the elements = -0.4169 eV/atom; symmetry = C2/m, No. 12
1.0
-3.577 0.027 -1.499
2.894 -4.874 -1.974
-3.133 -1.480 7.450
Pm Ni Hg
3 2 2
Direct
0.315 0.630 0.317
0.685 0.370 0.683
0.500 0.000 0.000
0.811 0.623 0.063
0.189 0.377 0.937
0.956 0.912 0.663
0.044 0.088 0.337

***

[14]
Nd2ErSb3 (GGA-PBE, relaxed); excess energy over the best structure of this formula in the dataset = 0.016 eV/f.u.; E_form (uncorrected) = -664.3 kJ/mol of formula units; symmetry = Immm, No. 71
1.0
-3.127 1.745 2.678
-4.097 -4.429 -1.898
5.636 -2.660 4.581
Nd Er Sb
2 1 3
Direct
0.668 0.168 0.337
0.332 0.832 0.663
0.000 0.500 0.000
0.339 0.339 0.679
0.000 0.000 0.000
0.661 0.661 0.321

***

[15]
Pa3Tl2ZnO12 (GGA-PBE, relaxed); E_form (uncorrected) = -3589.5 kJ/mol of formula units; symmetry = R-3m, No. 166
1.0
-6.793 -1.120 -3.327
-3.113 -6.923 0.921
-6.031 -0.397 4.683
Pa Tl Zn O
3 2 1 12
Direct
0.500 0.000 0.000
0.000 0.500 0.000
0.000 0.000 0.500
0.662 0.662 0.662
0.338 0.338 0.338
0.000 0.000 0.000
0.322 0.322 0.961
0.939 0.939 0.307
0.307 0.939 0.939
0.961 0.322 0.322
0.939 0.307 0.939
0.322 0.961 0.322
0.678 0.678 0.039
0.061 0.061 0.693
0.693 0.061 0.061
0.039 0.678 0.678
0.061 0.693 0.061
0.678 0.039 0.678

***

[16]
IrAuSe2 (GGA-PBE, relaxed); E_form (uncorrected) = 27.2 kJ/mol of formula units; symmetry = C2/m, No. 12
1.0
18.752 0.000 0.693
0.000 3.748 0.000
-6.414 0.000 4.428
Ir Au Se
4 4 8
Direct
0.266 0.500 0.139
0.734 0.500 0.861
0.234 0.000 0.361
0.766 0.000 0.639
0.558 0.000 0.438
0.442 0.000 0.562
0.942 0.500 0.062
0.058 0.500 0.938
0.891 0.000 0.612
0.109 0.000 0.388
0.609 0.500 0.888
0.391 0.500 0.112
0.152 0.000 0.814
0.848 0.000 0.186
0.348 0.500 0.686
0.652 0.500 0.314

***

[17]
Y5TmSc2 (GGA-PBE, relaxed); excess energy over the best structure of this formula in the dataset = 0.912 eV/f.u.; formation energy from the elements = 0.1376 eV/atom; symmetry = Cmcm, No. 63
1.0
5.295 0.000 0.000
-2.648 5.739 0.000
0.000 0.000 16.095
Y Tm Sc
10 2 4
Direct
0.948 0.895 0.900
0.948 0.895 0.600
0.355 0.710 0.460
0.355 0.710 0.040
0.522 0.044 0.250
0.478 0.956 0.750
0.645 0.290 0.540
0.645 0.290 0.960
0.052 0.105 0.100
0.052 0.105 0.400
0.758 0.515 0.750
0.242 0.485 0.250
0.767 0.534 0.354
0.767 0.534 0.146
0.233 0.466 0.646
0.233 0.466 0.854

***

[18]
AlNiW (GGA-PBE, relaxed); excess energy over the best structure of this formula in the dataset = 0.504 eV/f.u.; formation energy from the elements = -0.0455 eV/atom; symmetry = P-6m2, No. 187
1.0
4.173 0.000 0.000
-2.086 3.614 0.000
0.000 0.000 2.749
Ni Al W
1 1 1
Direct
0.667 0.333 0.167
0.000 0.000 0.166
0.333 0.667 0.667

***

[19]
K2Rb6NaPd (GGA-PBE, relaxed); formation energy from the elements = 0.0729 eV/atom; symmetry = Cm, No. 8
1.0
10.206 0.016 -0.005
0.016 10.206 -0.005
-5.111 -5.111 7.194
K Rb Na Pd
2 6 1 1
Direct
0.751 0.249 0.498
0.248 0.751 0.498
0.769 0.770 0.997
0.771 0.772 0.542
0.230 0.231 0.002
0.770 0.230 0.999
0.230 0.230 0.460
0.229 0.771 0.000
0.500 0.501 0.001
0.000 0.001 0.001

***

[20]
CdHgTe2 (GGA-PBE, relaxed); excess energy over the best structure of this formula in the dataset = 0.004 eV/f.u.; E_form (uncorrected) = -120.1 kJ/mol of formula units; symmetry = I-42d, No. 122
1.0
6.632 0.000 0.000
0.000 6.632 0.000
3.316 3.316 6.626
Te Hg Cd
4 2 2
Direct
0.623 0.125 0.250
0.127 0.625 0.250
0.375 0.377 0.750
0.875 0.873 0.750
0.000 0.000 0.000
0.750 0.250 0.500
0.500 0.500 0.000
0.250 0.750 0.500